Computed, not measured: a geometry-optimized Ba2AlCuH6 structure at the PBE level of DFT.

Lattice parameters (Å, degrees): 5.352 5.352 9.648 90.00 90.00 90.00
Space group I4mm (No. 107)
Symmetry-distinct sites (fractional):
1 Ba 0.000 0.500 0.000 (multiplicity 4)
2 Al 0.000 0.000 0.290 (multiplicity 2)
3 Cu 0.000 0.000 0.765 (multiplicity 2)
4 H 0.000 0.000 0.112 (multiplicity 2)
5 H 0.000 0.000 0.596 (multiplicity 2)
6 H 0.240 0.240 0.799 (multiplicity 8)

Results
The calculation puts the total moment at 0.0 μB per formula unit. For the energy, the calculation gives -3.386 eV/atom.